Computed, not measured: an optimized crystal structure of Zn at the GGA-PBE level of DFT.

Output
E above lowest polymorph: 0.01 eV per formula unit
formation enthalpy at 0 K: 0.01 eV/atom

a b c (Å): 2.714 4.687 4.531
angles (deg): 90.00 90.00 90.00
Space group Cmcm (No. 63)
Asymmetric unit:
Zn  0.000  0.167  0.250

Computed, not measured: an optimized crystal structure of FePCl8 at the GGA-PBE level of DFT.

a b c (Å): 6.161 13.469 14.010
angles (deg): 90.00 90.00 90.00
Space group Pbcm (No. 57)
Asymmetric unit:
Fe  0.228  0.027  0.250
P  0.455  0.750  0.000
Cl  0.095  0.539  0.619
Cl  0.160  0.189  0.250
Cl  0.269  0.697  0.101
Cl  0.360  0.145  0.551
Cl  0.420  0.502  0.250

| no. | total DFT energy (no corrections) (eV per cell) |
| --- | --- |
| 1 | -5.004 |
| 2 | -142.080 |